! Hf2H2Pb | Alexandria | PBE-GGA | optimized geometry; values from VASP
&SYSTEM
  ibrav = 0, nat = 5, ntyp = 3
/
ATOMIC_SPECIES
Pb 207.20 Pb.upf
H 1.01 H.upf
Hf 178.49 Hf.upf
CELL_PARAMETERS angstrom
3.847 0.000 0.000
0.000 3.847 0.000
1.924 1.924 4.858
ATOMIC_POSITIONS crystal
Pb 0.000 0.000 0.000
H 0.750 0.250 0.500
H 0.250 0.750 0.500
Hf 0.332 0.332 0.337
Hf 0.668 0.668 0.663
! Spin magnetization: 0.00 μB per cell
! DFT total energy: -31.46 eV for the cell shown